Material: SrTi2Hg2
Method: DFT, PBE
State: optimized geometry

Properties
Space-group type: P4/mbm
ΔE_f (meV per atom): 31.3

The structure in extended XYZ format:
```
10
Lattice="8.463 0.000 0.000 0.000 8.463 0.000 0.000 0.000 3.165" Properties=species:S:1:pos:R:3 pbc="T T T"
Sr 4.232 4.232 0.000
Sr 0.000 0.000 0.000
Hg 2.675 1.557 1.583
Hg 1.557 5.789 1.583
Hg 5.789 6.906 1.583
Hg 6.906 2.675 1.583
Ti 5.145 0.913 0.000
Ti 7.550 5.145 0.000
Ti 3.318 7.550 0.000
Ti 0.913 3.318 0.000
```

Material: SrTi3Hg
Method: DFT, PBE
State: optimized geometry

Properties
Space-group type: Pm-3m
ΔE_f (meV per atom): 907.4

The structure in extended XYZ format:
```
5
Lattice="-5.170 -0.038 0.456 0.355 -3.597 3.725 0.289 3.741 3.586" Properties=species:S:1:pos:R:3 pbc="T T T"
Ti 0.178 -1.799 1.862
Ti 0.144 1.871 1.793
Ti -2.585 -0.019 0.228
Hg 0.000 0.000 0.000
Sr -2.263 0.053 3.883
```

Computed values of energy above the lowest structure with this stoichiometry (unit: meV/atom) for the preceding records, in sequence: 0; 0.